FeAsH4O6: optimized geometry, PBE with a Hubbard U.

a = 9.0529 Å, b = 10.1536 Å, c = 10.5739 Å
α = 90.00°, β = 90.00°, γ = 90.00°
Positions (direct):
Fe (0.6478, 0.8169, 0.3727)
Fe (0.1478, 0.6831, 0.6273)
Fe (0.3522, 0.3169, 0.1273)
Fe (0.8522, 0.1831, 0.8727)
Fe (0.3522, 0.1831, 0.6273)
Fe (0.8522, 0.3169, 0.3727)
Fe (0.6478, 0.6831, 0.8727)
Fe (0.1478, 0.8169, 0.1273)
As (0.5318, 0.1350, 0.3488)
As (0.0318, 0.3650, 0.6512)
As (0.4682, 0.6350, 0.1512)
As (0.9682, 0.8650, 0.8488)
As (0.4682, 0.8650, 0.6512)
As (0.9682, 0.6350, 0.3488)
As (0.5318, 0.3650, 0.8488)
As (0.0318, 0.1350, 0.1512)
H (0.6870, 0.8228, 0.1310)
H (0.1870, 0.6772, 0.8690)
H (0.3130, 0.3228, 0.3690)
H (0.8130, 0.1772, 0.6310)
H (0.3130, 0.1772, 0.8690)
H (0.8130, 0.3228, 0.1310)
H (0.6870, 0.6772, 0.6310)
H (0.1870, 0.8228, 0.3690)
H (0.8322, 0.9039, 0.1834)
H (0.3322, 0.5961, 0.8166)
H (0.1678, 0.4039, 0.3166)
H (0.6678, 0.0961, 0.6834)
H (0.1678, 0.0961, 0.8166)
H (0.6678, 0.4039, 0.1834)
H (0.8322, 0.5961, 0.6834)
H (0.3322, 0.9039, 0.3166)
H (0.8578, 0.9159, 0.5277)
H (0.3578, 0.5841, 0.4723)
H (0.1422, 0.4159, 0.9723)
H (0.6422, 0.0841, 0.0277)
H (0.1422, 0.0841, 0.4723)
H (0.6422, 0.4159, 0.5277)
H (0.8578, 0.5841, 0.0277)
H (0.3578, 0.9159, 0.9723)
H (0.7954, 0.0285, 0.4320)
H (0.2954, 0.4715, 0.5680)
H (0.2046, 0.5285, 0.0680)
H (0.7046, 0.9715, 0.9320)
H (0.2046, 0.9715, 0.5680)
H (0.7046, 0.5285, 0.4320)
H (0.7954, 0.4715, 0.9320)
H (0.2954, 0.0285, 0.0680)
O (0.5007, 0.9679, 0.3592)
O (0.0007, 0.5321, 0.6408)
O (0.4993, 0.4679, 0.1408)
O (0.9993, 0.0321, 0.8592)
O (0.4993, 0.0321, 0.6408)
O (0.9993, 0.4679, 0.3592)
O (0.5007, 0.5321, 0.8592)
O (0.0007, 0.9679, 0.1408)
O (0.7130, 0.1622, 0.3918)
O (0.2130, 0.3378, 0.6082)
O (0.2870, 0.6622, 0.1082)
O (0.7870, 0.8378, 0.8918)
O (0.2870, 0.8378, 0.6082)
O (0.7870, 0.6622, 0.3918)
O (0.7130, 0.3378, 0.8918)
O (0.2130, 0.1622, 0.1082)
O (0.5022, 0.1936, 0.1988)
O (0.0022, 0.3064, 0.8012)
O (0.4978, 0.6936, 0.3012)
O (0.9978, 0.8064, 0.6988)
O (0.4978, 0.8064, 0.8012)
O (0.9978, 0.6936, 0.1988)
O (0.5022, 0.3064, 0.6988)
O (0.0022, 0.1936, 0.3012)
O (0.4123, 0.2175, 0.4486)
O (0.9123, 0.2825, 0.5514)
O (0.5877, 0.7175, 0.0514)
O (0.0877, 0.7825, 0.9486)
O (0.5877, 0.7825, 0.5514)
O (0.0877, 0.7175, 0.4486)
O (0.4123, 0.2825, 0.9486)
O (0.9123, 0.2175, 0.0514)
O (0.7262, 0.8817, 0.1998)
O (0.2262, 0.6183, 0.8002)
O (0.2738, 0.3817, 0.3002)
O (0.7738, 0.1183, 0.6998)
O (0.2738, 0.1183, 0.8002)
O (0.7738, 0.3817, 0.1998)
O (0.7262, 0.6183, 0.6998)
O (0.2262, 0.8817, 0.3002)
O (0.8246, 0.9328, 0.4411)
O (0.3246, 0.5672, 0.5589)
O (0.1754, 0.4328, 0.0589)
O (0.6754, 0.0672, 0.9411)
O (0.1754, 0.0672, 0.5589)
O (0.6754, 0.4328, 0.4411)
O (0.8246, 0.5672, 0.9411)
O (0.3246, 0.9328, 0.0589)

Properties
Final energy   -5.656 eV/atom
Total magnetization   40.546 μB per cell